(1)
VASP calculation (GGA-PBE) on ThAl10Fe3 after structural relaxation.

## Properties
DFT formation energy ... -0.0903 eV/atom
Uncorrected energy ... -0.1877 Ha/atom

a = 8.8230 Å, b = 8.8230 Å, c = 8.8230 Å
α = 60.00°, β = 60.00°, γ = 60.00°
Fractional coordinates of all 28 atoms:
Th 0.2500 0.2500 0.2500
Th 0.7500 0.7500 0.7500
Al 0.0000 0.0000 0.3263
Al 0.0000 0.0000 0.6737
Al 0.0000 0.3263 0.0000
Al 0.0000 0.3263 0.6737
Al 0.0000 0.6737 0.0000
Al 0.0000 0.6737 0.3263
Al 0.1824 0.6059 0.6059
Al 0.3263 0.0000 0.0000
Al 0.3263 0.0000 0.6737
Al 0.3263 0.6737 0.0000
Al 0.3941 0.3941 0.3941
Al 0.3941 0.3941 0.8176
Al 0.3941 0.8176 0.3941
Al 0.6059 0.1824 0.6059
Al 0.6059 0.6059 0.1824
Al 0.6059 0.6059 0.6059
Al 0.6737 0.0000 0.0000
Al 0.6737 0.0000 0.3263
Al 0.6737 0.3263 0.0000
Al 0.8176 0.3941 0.3941
Fe 0.2633 0.2633 0.7367
Fe 0.2633 0.7367 0.2633
Fe 0.2633 0.7367 0.7367
Fe 0.7367 0.2633 0.2633
Fe 0.7367 0.2633 0.7367
Fe 0.7367 0.7367 0.2633

=====

(2)
VASP calculation (GGA-PBE) on CoCu2PbN after structural relaxation.

## Properties
Uncorrected energy ... -0.1306 Ha/atom
Raw formation energy ... 1911.4 meV per atom

a = 4.8901 Å, b = 4.8901 Å, c = 4.3183 Å
α = 90.00°, β = 90.00°, γ = 90.00°
Fractional coordinates of all 5 atoms:
Co 0.0000 0.0000 0.0000
Cu 0.0000 0.5000 0.5000
Cu 0.5000 0.0000 0.5000
Pb 0.5000 0.5000 0.5000
N 0.5000 0.5000 0.0000

=====

(3)
VASP calculation (GGA-PBE) on LiWAu2 after structural relaxation.

## Properties
DFT formation energy ... 0.1135 eV/atom
Uncorrected energy ... -0.1926 Ha/atom

a = 5.0406 Å, b = 5.0406 Å, c = 4.9975 Å
α = 94.20°, β = 94.20°, γ = 31.65°
Fractional coordinates of all 4 atoms:
Li 0.0000 0.0000 0.0000
W 0.2374 0.2374 0.6490
Au 0.4961 0.4961 0.5035
Au 0.7435 0.7435 0.1442

=====

(4)
VASP calculation (GGA-PBE) on Sr2AgHPd6 after structural relaxation.

## Properties
Uncorrected energy ... -0.1607 Ha/atom

a = 6.4993 Å, b = 6.4993 Å, c = 6.4993 Å
α = 120.07°, β = 120.07°, γ = 89.87°
Fractional coordinates of all 10 atoms:
Sr 0.2500 0.7500 0.5000
Sr 0.7500 0.2500 0.5000
Ag 0.0000 0.0000 0.0000
H 0.5000 0.5000 0.0000
Pd 0.2840 0.2840 0.0000
Pd 0.2843 0.2843 0.5687
Pd 0.2843 0.7157 0.0000
Pd 0.7157 0.2843 0.0000
Pd 0.7160 0.7160 0.0000
Pd 0.7157 0.7157 0.4313

=====

(5)
VASP calculation (GGA-PBE) on Na3Pd after structural relaxation.

## Properties
DFT formation energy ... -0.0213 eV/atom
Uncorrected energy ... -0.0848 Ha/atom

a = 5.1050 Å, b = 5.1050 Å, c = 5.1050 Å
α = 60.00°, β = 60.00°, γ = 60.00°
Fractional coordinates of all 4 atoms:
Na 0.0000 0.0000 0.0000
Na 0.2500 0.2500 0.2500
Na 0.7500 0.7500 0.7500
Pd 0.5000 0.5000 0.5000

=====

(6)
VASP calculation (GGA-PBE) on NiSnOs2Br after structural relaxation.

## Properties
Uncorrected energy ... -0.1643 Ha/atom
Raw formation energy ... 2312.7 meV per atom

a = 4.5426 Å, b = 4.5426 Å, c = 5.4003 Å
α = 90.00°, β = 90.00°, γ = 90.00°
Fractional coordinates of all 5 atoms:
Ni 0.0000 0.0000 0.0000
Sn 0.5000 0.5000 0.0000
Os 0.0000 0.5000 0.5000
Os 0.5000 0.0000 0.5000
Br 0.5000 0.5000 0.5000